Record 1
The following is a PBE calculation of an optimized crystal structure of HfNbPt3, from the Alexandria database.

Results
mass density = 12435 kg/m3
total magnetic moment = 2.48 μB/f.u.
space-group type = No. 221
total energy = -6.871 eV/atom
formation enthalpy at 0 K = 0.759 eV/atom
relative energy among the computed polymorphs = 1271 meV per atom

a b c (Å): 4.8544 4.8544 4.8544
angles (deg): 90.00 90.00 90.00
Closest atoms and distances in Å follow each position.
Fractional positions:
Hf (0.0000, 0.0000, 0.0000)  6 Pt 2.43
Nb (0.5000, 0.5000, 0.5000)  12 Pt 3.43
Pt (0.0000, 0.0000, 0.5000)  2 Hf 2.43
Pt (0.0000, 0.5000, 0.0000)  2 Hf 2.43
Pt (0.5000, 0.0000, 0.0000)  2 Hf 2.43



Record 2
The following is a PBE calculation of an optimized crystal structure of Dy3TmC2, from the Alexandria database.

Results
mass density = 8276 kg/m3
total magnetic moment = 0.37 μB/f.u.
space-group type = No. 164
total energy = -6.394 eV/atom
formation enthalpy at 0 K = -0.273 eV/atom

a b c (Å): 7.1143 7.1143 6.2295
angles (deg): 90.00 90.00 120.00
Closest atoms and distances in Å follow each position.
Fractional positions:
Dy (0.1665, 0.3329, 0.2818)  3 C 2.46
Dy (0.1665, 0.8335, 0.2818)  3 C 2.46
Dy (0.3329, 0.1665, 0.7182)  3 C 2.46
Dy (0.6671, 0.8335, 0.2818)  3 C 2.46
Dy (0.8335, 0.1665, 0.7182)  3 C 2.46
Dy (0.8335, 0.6671, 0.7182)  3 C 2.46
Tm (0.3333, 0.6667, 0.7095)  3 C 2.43
Tm (0.6667, 0.3333, 0.2905)  3 C 2.43
C (0.0000, 0.0000, 0.5000)  6 Dy 2.46
C (0.0000, 0.5000, 0.5000)  2 Tm 2.43, 4 Dy 2.46
C (0.5000, 0.0000, 0.5000)  2 Tm 2.43, 4 Dy 2.46
C (0.5000, 0.5000, 0.5000)  2 Tm 2.43, 4 Dy 2.46



Record 3
The following is a PBE calculation of an optimized crystal structure of K3NpSc3Se8, from the Alexandria database.

Results
mass density = 4315 kg/m3
total magnetic moment = 3.00 μB/f.u.
space-group type = No. 166
total energy = -5.728 eV/atom

a b c (Å): 9.0296 9.0296 9.0296
angles (deg): 52.69 52.69 52.69
Closest atoms and distances in Å follow each position.
Fractional positions:
K (0.0000, 0.5000, 0.5000)  6 Se 3.31-3.32
K (0.5000, 0.0000, 0.5000)  6 Se 3.31-3.32
K (0.5000, 0.5000, 0.0000)  6 Se 3.31-3.32
Np (0.5000, 0.5000, 0.5000)  6 Se 2.83
Sc (0.0000, 0.0000, 0.5000)  6 Se 2.74-2.76
Sc (0.0000, 0.5000, 0.0000)  6 Se 2.74-2.76
Sc (0.5000, 0.0000, 0.0000)  6 Se 2.74-2.76
Se (0.2219, 0.7375, 0.7375)  2 Sc 2.74, 1 Np 2.83
Se (0.2314, 0.2314, 0.2314)  3 Sc 2.76
Se (0.2625, 0.2625, 0.7781)  2 Sc 2.74, 1 Np 2.83
Se (0.2625, 0.7781, 0.2625)  2 Sc 2.74, 1 Np 2.83
Se (0.7375, 0.2219, 0.7375)  2 Sc 2.74, 1 Np 2.83
Se (0.7375, 0.7375, 0.2219)  2 Sc 2.74, 1 Np 2.83
Se (0.7686, 0.7686, 0.7686)  3 Sc 2.76
Se (0.7781, 0.2625, 0.2625)  2 Sc 2.74, 1 Np 2.83



Record 4
The following is a PBE calculation of an optimized crystal structure of MgMnPdRu, from the Alexandria database.

Results
mass density = 8106 kg/m3
total magnetic moment = 3.34 μB/f.u.
space-group type = No. 216
total energy = -6.431 eV/atom
formation enthalpy at 0 K = -0.123 eV/atom

a b c (Å): 6.1705 6.1705 6.1705
angles (deg): 90.00 90.00 90.00
Closest atoms and distances in Å follow each position.
Fractional positions:
Mg (0.0000, 0.0000, 0.0000)  4 Pd 2.67, 4 Ru 2.67
Mg (0.0000, 0.5000, 0.5000)  4 Pd 2.67, 4 Ru 2.67
Mg (0.5000, 0.0000, 0.5000)  4 Pd 2.67, 4 Ru 2.67
Mg (0.5000, 0.5000, 0.0000)  4 Pd 2.67, 4 Ru 2.67
Mn (0.0000, 0.0000, 0.5000)  4 Ru 2.67, 4 Pd 2.67
Mn (0.0000, 0.5000, 0.0000)  4 Ru 2.67, 4 Pd 2.67
Mn (0.5000, 0.0000, 0.0000)  4 Ru 2.67, 4 Pd 2.67
Mn (0.5000, 0.5000, 0.5000)  4 Ru 2.67, 4 Pd 2.67
Pd (0.2500, 0.2500, 0.7500)  4 Mn 2.67, 4 Mg 2.67
Pd (0.2500, 0.7500, 0.2500)  4 Mn 2.67, 4 Mg 2.67
Pd (0.7500, 0.2500, 0.2500)  4 Mn 2.67, 4 Mg 2.67
Pd (0.7500, 0.7500, 0.7500)  4 Mn 2.67, 4 Mg 2.67
Ru (0.2500, 0.2500, 0.2500)  4 Mn 2.67, 4 Mg 2.67
Ru (0.2500, 0.7500, 0.7500)  4 Mn 2.67, 4 Mg 2.67
Ru (0.7500, 0.2500, 0.7500)  4 Mn 2.67, 4 Mg 2.67
Ru (0.7500, 0.7500, 0.2500)  4 Mn 2.67, 4 Mg 2.67



Record 5
The following is a PBE calculation of an optimized crystal structure of KCdHg2Pb, from the Alexandria database.

Results
mass density = 5950 kg/m3
total magnetic moment = 0.00 μB/f.u.
space-group type = No. 123
total energy = -1.196 eV/atom
formation enthalpy at 0 K = 0.068 eV/atom
relative energy among the computed polymorphs = 8 meV per atom

a b c (Å): 6.1256 6.1256 5.6518
angles (deg): 90.00 90.00 90.00
Closest atoms and distances in Å follow each position.
Fractional positions:
K (0.0000, 0.0000, 0.0000)  8 Hg 4.17, 4 Cd 4.33
Cd (0.5000, 0.5000, 0.0000)  2 Pb 2.83
Hg (0.0000, 0.5000, 0.5000)  2 Pb 3.06
Hg (0.5000, 0.0000, 0.5000)  2 Pb 3.06
Pb (0.5000, 0.5000, 0.5000)  2 Cd 2.83, 4 Hg 3.06



Record 6
The following is a PBE calculation of an optimized crystal structure of Rb3Er3GaSe8, from the Alexandria database.

Results
mass density = 5108 kg/m3
total magnetic moment = 0.00 μB/f.u.
space-group type = No. 166
total energy = -4.545 eV/atom

a b c (Å): 9.4998 9.4998 9.4998
angles (deg): 50.78 50.78 50.78
Closest atoms and distances in Å follow each position.
Fractional positions:
Rb (0.0000, 0.5000, 0.5000)  6 Se 3.44-3.47
Rb (0.5000, 0.0000, 0.5000)  6 Se 3.44-3.47
Rb (0.5000, 0.5000, 0.0000)  6 Se 3.44-3.47
Er (0.0000, 0.0000, 0.5000)  6 Se 2.85
Er (0.0000, 0.5000, 0.0000)  6 Se 2.85
Er (0.5000, 0.0000, 0.0000)  6 Se 2.85
Ga (0.5000, 0.5000, 0.5000)  6 Se 2.71
Se (0.2318, 0.2318, 0.2318)  3 Er 2.85
Se (0.2447, 0.7202, 0.7202)  1 Ga 2.71, 2 Er 2.85
Se (0.2798, 0.2798, 0.7553)  1 Ga 2.71, 2 Er 2.85
Se (0.2798, 0.7553, 0.2798)  1 Ga 2.71, 2 Er 2.85
Se (0.7202, 0.2447, 0.7202)  1 Ga 2.71, 2 Er 2.85
Se (0.7202, 0.7202, 0.2447)  1 Ga 2.71, 2 Er 2.85
Se (0.7553, 0.2798, 0.2798)  1 Ga 2.71, 2 Er 2.85
Se (0.7682, 0.7682, 0.7682)  3 Er 2.85



Record 7
The following is a PBE calculation of an optimized crystal structure of Ba3Tl7Au4, from the Alexandria database.

Results
mass density = 10503 kg/m3
total magnetic moment = 0.00 μB/f.u.
space-group type = No. 12
total energy = -2.915 eV/atom
formation enthalpy at 0 K = -0.383 eV/atom

a b c (Å): 9.5017 9.5017 10.4605
angles (deg): 121.20 121.20 31.50
Closest atoms and distances in Å follow each position.
Fractional positions:
Ba (0.0000, 0.0000, 0.0000)  6 Au 3.45-3.86, 2 Tl 3.80
Ba (0.3041, 0.3041, 0.2952)  5 Au 3.55-3.92, 8 Tl 3.61-3.77
Ba (0.6959, 0.6959, 0.7048)  5 Au 3.55-3.92, 8 Tl 3.61-3.77
Tl (0.0000, 0.0000, 0.5000)  2 Au 3.18, 6 Tl 3.33
Tl (0.1569, 0.1569, 0.4284)  3 Au 2.98-3.04, 1 Tl 3.33
Tl (0.3266, 0.3266, 0.9727)  4 Au 2.88-3.08, 1 Tl 3.21
Tl (0.4969, 0.4969, 0.6991)  1 Au 2.94, 1 Tl 3.21
Tl (0.5031, 0.5031, 0.3009)  1 Au 2.94, 1 Tl 3.21
Tl (0.6734, 0.6734, 0.0273)  4 Au 2.88-3.08, 1 Tl 3.21
Tl (0.8431, 0.8431, 0.5716)  3 Au 2.98-3.04, 1 Tl 3.33
Au (0.1319, 0.1319, 0.8574)  6 Tl 2.99-3.33
Au (0.3395, 0.3395, 0.7106)  5 Tl 2.88-3.04
Au (0.6605, 0.6605, 0.2894)  5 Tl 2.88-3.04
Au (0.8681, 0.8681, 0.1426)  6 Tl 2.99-3.33



Record 8
The following is a PBE calculation of an optimized crystal structure of NpFeIr, from the Alexandria database.

Results
mass density = 16516 kg/m3
total magnetic moment = 4.47 μB/f.u.
space-group type = No. 74
total energy = -10.256 eV/atom
formation enthalpy at 0 K = -0.167 eV/atom

a b c (Å): 4.7540 5.4584 7.5175
angles (deg): 90.00 90.00 90.00
Closest atoms and distances in Å follow each position.
Fractional positions:
Np (0.0000, 0.2500, 0.1400)  2 Np 2.90, 6 Ir 2.94-3.03, 6 Fe 3.09-3.16
Np (0.0000, 0.7500, 0.8600)  2 Np 2.90, 6 Ir 2.94-3.03, 6 Fe 3.09-3.16
Np (0.5000, 0.2500, 0.3600)  2 Np 2.90, 6 Ir 2.94-3.03, 6 Fe 3.09-3.16
Np (0.5000, 0.7500, 0.6400)  2 Np 2.90, 6 Ir 2.94-3.03, 6 Fe 3.09-3.16
Fe (0.2500, 0.2500, 0.7500)  2 Fe 2.38, 4 Ir 2.61
Fe (0.2500, 0.7500, 0.2500)  2 Fe 2.38, 4 Ir 2.61
Fe (0.7500, 0.2500, 0.7500)  2 Fe 2.38, 4 Ir 2.61
Fe (0.7500, 0.7500, 0.2500)  2 Fe 2.38, 4 Ir 2.61
Ir (0.0000, 0.0000, 0.5000)  4 Fe 2.61, 2 Ir 2.73
Ir (0.0000, 0.5000, 0.5000)  4 Fe 2.61, 2 Ir 2.73
Ir (0.5000, 0.0000, 0.0000)  4 Fe 2.61, 2 Ir 2.73
Ir (0.5000, 0.5000, 0.0000)  4 Fe 2.61, 2 Ir 2.73